! Mn2CoSe (GGA-PBE, optimized geometry); values from VASP
&SYSTEM
  ibrav = 0, nat = 4, ntyp = 3
/
ATOMIC_SPECIES
Mn 54.94 Mn.upf
Co 58.93 Co.upf
Se 78.96 Se.upf
CELL_PARAMETERS angstrom
3.411 0.000 0.000
0.000 3.757 0.000
0.000 0.000 3.857
ATOMIC_POSITIONS crystal
Mn 0.000 0.000 0.000
Mn 0.500 0.500 0.000
Co 0.000 0.500 0.500
Se 0.500 0.000 0.500
! Energy relative to the lowest polymorph listed for this composition   0.46 eV per formula unit
! DOS at the Fermi energy   1.121 states/eV/atom
! Electronic total energy   -0.51619 Ry/atom
! SG   Pmmm, No. 47
! Total magnetization   4.38 μB/f.u.
! Formation energy from raw total energies   0.2093 eV/atom